Entry 1:
DFT (PBE-GGA) results for an optimized crystal structure of Ce6PuPt3.

extended XYZ file:
```
20
Lattice="6.6160 0.0000 0.0000 0.0016 7.5398 0.0000 0.2196 0.0061 10.0964" Properties=species:S:1:pos:R:3 pbc="T T T"
Ce 0.9485 0.3122 2.7330
Ce 1.0854 2.1997 5.6840
Ce 1.4378 2.5887 9.5002
Ce 2.2027 6.3560 5.6429
Ce 2.5535 5.9724 9.4579
Ce 2.4695 4.0814 2.3146
Ce 4.3677 3.4645 7.7818
Ce 4.2837 1.5735 0.6384
Ce 4.6346 1.1898 4.4535
Ce 5.3994 4.9572 0.5962
Ce 5.7519 5.3461 4.4124
Ce 5.8887 7.2337 7.3633
Pu 0.1098 0.0030 5.0482
Pu 3.3088 3.7699 0.0000
Pt 0.0000 0.0000 0.0000
Pt 0.5224 4.5110 7.4368
Pt 3.1166 0.7430 7.7024
Pt 3.4186 3.7729 5.0482
Pt 3.7206 6.8029 2.3940
Pt 6.3149 3.0349 2.6595
```

Values from the calculation:
Energy of formation from the pure elements, eV per atom: -0.694
Raw total energy, eV/atom: -7.4998

Entry 2:
DFT (PBE-GGA) results for an optimized crystal structure of Ni3PPt.

extended XYZ file:
```
5
Lattice="4.5661 0.0000 0.0000 0.0000 4.5661 0.0000 0.0000 0.0000 4.5661" Properties=species:S:1:pos:R:3 pbc="T T T"
Ni 0.0000 0.0000 2.2831
Ni 0.0000 2.2831 0.0000
Ni 2.2831 0.0000 0.0000
P 2.2831 2.2831 2.2831
Pt 0.0000 0.0000 0.0000
```

Values from the calculation:
Energy of formation from the pure elements, eV per atom: 1.331
Raw total energy, eV/atom: -4.4283

Entry 3:
DFT (PBE-GGA) results for an optimized crystal structure of Cd3W.

extended XYZ file:
```
16
Lattice="5.9901 0.0000 0.0000 -2.9950 5.1875 0.0000 0.0000 0.0000 9.8849" Properties=species:S:1:pos:R:3 pbc="T T T"
Cd -1.4975 2.5938 0.0000
Cd -1.4975 2.5938 4.9425
Cd 0.0000 1.6929 2.4712
Cd -1.5289 4.3411 2.4712
Cd 1.4661 0.8465 7.4137
Cd 2.9950 0.0000 0.0000
Cd 2.9950 0.0000 4.9425
Cd 1.4975 2.5938 0.0000
Cd 1.4975 2.5938 4.9425
Cd 1.5289 4.3411 2.4712
Cd 4.5239 0.8465 7.4137
Cd 2.9950 3.4946 7.4137
W 0.0000 0.0000 0.0000
W 0.0000 0.0000 4.9425
W 0.0000 3.4584 7.4137
W 2.9950 1.7292 2.4712
```

Values from the calculation:
Excess energy over the best structure of this formula in the dataset, meV/atom: 244
Energy of formation from the pure elements, eV per atom: 0.628
Raw total energy, eV/atom: -3.2962

Entry 4:
DFT (PBE-GGA) results for an optimized crystal structure of MnCrFe.

extended XYZ file:
```
9
Lattice="5.8335 0.0000 0.0000 -2.9168 5.0520 0.0000 0.0000 0.0000 3.7520" Properties=species:S:1:pos:R:3 pbc="T T T"
Mn -1.2296 2.1297 0.0000
Mn 2.4592 0.0000 0.0000
Mn 1.6872 2.9223 0.0000
Cr 0.0000 0.0000 0.0000
Cr 0.0000 3.3680 1.8760
Cr 2.9168 1.6840 1.8760
Fe -2.1869 3.7878 1.8760
Fe 0.7299 1.2642 1.8760
Fe 4.3738 0.0000 1.8760
```

Values from the calculation:
Excess energy over the best structure of this formula in the dataset, meV/atom: 255
Energy of formation from the pure elements, eV per atom: 0.318
Raw total energy, eV/atom: -8.7673

Entry 5:
DFT (PBE-GGA) results for an optimized crystal structure of GaRe.

extended XYZ file:
```
4
Lattice="1.4263 0.8235 8.9326 -1.4263 0.8235 8.9326 0.0000 -1.6469 8.9326" Properties=species:S:1:pos:R:3 pbc="T T T"
Ga 0.0000 0.0000 0.0000
Ga 0.0000 0.0000 2.5013
Re 0.0000 0.0000 6.7609
Re 0.0000 0.0000 13.6156
```

Values from the calculation:
Energy of formation from the pure elements, eV per atom: -0.055
Raw total energy, eV/atom: -7.7923

Entry 6:
DFT (PBE-GGA) results for an optimized crystal structure of NpSc2Sn.

extended XYZ file:
```
4
Lattice="0.0000 3.5898 3.5898 3.5898 0.0000 3.5898 3.5898 3.5898 0.0000" Properties=species:S:1:pos:R:3 pbc="T T T"
Np 0.0000 0.0000 0.0000
Sc 1.7949 1.7949 1.7949
Sc 5.3848 5.3848 5.3848
Sn 3.5898 3.5898 3.5898
```

Values from the calculation:
Energy of formation from the pure elements, eV per atom: 0.002
Raw total energy, eV/atom: -7.3995

Entry 7:
DFT (PBE-GGA) results for an optimized crystal structure of Pm2Sm2As5.

extended XYZ file:
```
18
Lattice="7.7489 -3.8328 0.0000 7.7489 3.8328 0.0000 0.0000 0.0000 7.7599" Properties=species:S:1:pos:R:3 pbc="T T T"
Pm 2.9084 0.0000 0.0000
Pm 4.8405 0.0000 3.8800
Pm 10.6574 0.0000 3.8800
Pm 12.5894 0.0000 0.0000
Sm 7.7489 2.5510 5.1931
Sm 7.7489 1.2818 1.3131
Sm 7.7489 -1.2818 6.4468
Sm 7.7489 -2.5510 2.5668
As 0.0000 0.0000 0.0000
As 2.1499 0.9450 4.8410
As 5.5991 0.9450 6.7989
As 2.1499 -0.9450 2.9189
As 5.5991 -0.9450 0.9610
As 7.7489 0.0000 3.8800
As 9.8988 0.9450 6.7989
As 13.3480 0.9450 4.8410
As 9.8988 -0.9450 0.9610
As 13.3480 -0.9450 2.9189
```

Values from the calculation:
Energy of formation from the pure elements, eV per atom: -1.170
Raw total energy, eV/atom: -5.8576

Entry 8:
DFT (PBE-GGA) results for an optimized crystal structure of TbSm4Er2Tm.

extended XYZ file:
```
8
Lattice="6.1882 0.0000 0.0000 0.0000 3.5773 0.0000 -2.0752 0.0000 11.6044" Properties=species:S:1:pos:R:3 pbc="T T T"
Tb 0.0000 0.0000 0.0000
Sm -0.0098 0.0000 8.6933
Sm 1.0296 1.7886 2.9153
Sm 3.0834 1.7886 8.6891
Sm 4.1229 0.0000 2.9111
Er 2.0565 0.0000 5.8022
Er 3.0941 1.7886 0.0000
Tm -1.0376 1.7886 5.8022
```

Values from the calculation:
Energy of formation from the pure elements, eV per atom: 0.018
Raw total energy, eV/atom: -4.6197

Entry 9:
DFT (PBE-GGA) results for an optimized crystal structure of YSe2Br.

extended XYZ file:
```
4
Lattice="2.2021 1.2714 7.1097 -2.2021 1.2714 7.1097 0.0000 -2.5428 7.1097" Properties=species:S:1:pos:R:3 pbc="T T T"
Y 0.0000 0.0000 0.0000
Se 0.0000 0.0000 5.7910
Se 0.0000 0.0000 15.5382
Br 0.0000 0.0000 10.6646
```

Values from the calculation:
Excess energy over the best structure of this formula in the dataset, meV/atom: 470
E_form (uncorrected), eV per atom: -0.79
Raw total energy, eV/atom: -4.5693

Entry 10:
DFT (PBE-GGA) results for an optimized crystal structure of Sr2Zn2PdPt5.

extended XYZ file:
```
20
Lattice="9.7692 0.0000 0.0000 0.0000 9.7692 0.0000 0.0000 0.0000 3.8835" Properties=species:S:1:pos:R:3 pbc="T T T"
Sr 1.7691 3.1155 0.0000
Sr 3.1155 8.0001 0.0000
Sr 6.6536 1.7691 0.0000
Sr 8.0001 6.6536 0.0000
Zn 1.1669 6.0514 0.0000
Zn 3.7177 1.1669 0.0000
Zn 6.0514 8.6023 0.0000
Zn 8.6023 3.7177 0.0000
Pd 0.0000 0.0000 0.0000
Pd 4.8846 4.8846 0.0000
Pt 0.0000 4.8846 1.9417
Pt 0.5686 7.7426 1.9417
Pt 2.0266 0.5686 1.9417
Pt 2.8580 5.4532 1.9417
Pt 4.3160 2.8580 1.9417
Pt 4.8846 0.0000 1.9417
Pt 5.4532 6.9112 1.9417
Pt 6.9112 4.3160 1.9417
Pt 7.7426 9.2006 1.9417
Pt 9.2006 2.0266 1.9417
```

Values from the calculation:
Energy of formation from the pure elements, eV per atom: -0.537
Raw total energy, eV/atom: -4.6683

Entry 11:
DFT (PBE-GGA) results for an optimized crystal structure of Tb6InSn.

extended XYZ file:
```
8
Lattice="4.8411 0.0000 0.0000 0.0000 4.8411 0.0000 0.0000 0.0000 9.6693" Properties=species:S:1:pos:R:3 pbc="T T T"
Tb 0.0000 0.0000 0.0000
Tb 0.0000 0.0000 4.8346
Tb 0.0000 2.4206 2.3967
Tb 0.0000 2.4206 7.2726
Tb 2.4206 0.0000 2.3967
Tb 2.4206 0.0000 7.2726
In 2.4206 2.4206 4.8346
Sn 2.4206 2.4206 0.0000
```

Values from the calculation:
Energy of formation from the pure elements, eV per atom: -0.356
Raw total energy, eV/atom: -4.6712

Entry 12:
DFT (PBE-GGA) results for an optimized crystal structure of K2MgCo.

extended XYZ file:
```
4
Lattice="3.7248 0.0000 0.0000 0.0000 3.6907 0.0000 -1.8542 0.0000 10.1900" Properties=species:S:1:pos:R:3 pbc="T T T"
K 0.0000 0.0000 0.0000
K 0.0290 1.8453 6.0582
Mg 1.9110 0.0000 3.1425
Co 0.0498 1.8453 2.8563
```

Values from the calculation:
Energy of formation from the pure elements, eV per atom: 0.509
Raw total energy, eV/atom: -2.2150